The following is a DFT calculation (PBE) of a geometry-optimized PmScF6 structure.

The value obtained for the uncorrected formation energy is -4.013 eV per atom. For the density of states at the Fermi level, the calculation gives 0.0 states/eV/cell. As for the energy above the most stable polymorph in this dataset: 0.0 meV per atom.

The space group is R-3 (No. 148, hexagonal axes) and the conventional cell measures 5.7887, 5.7887 and 15.2302 Å, with angles of 90.00, 90.00 and 120.00 degrees. The asymmetric unit holds Pm at (0.0000, 0.0000, 0.0000), Sc at (0.0000, 0.0000, 0.5000) and F at (0.0191, 0.4278, 0.2451).

=====

The following is a DFT calculation (PBE) of a geometry-optimized Sm2VH structure.

As for the total DFT energy (no corrections): -5.017 eV/atom. For the density of states at the Fermi level, the calculation gives 15.8 states/eV/cell.

The space group is R-3m (No. 166, hexagonal axes) and the conventional cell measures 3.3050, 3.3050 and 26.6489 Å, with angles of 90.00, 90.00 and 120.00 degrees. The asymmetric unit holds Sm at (0.0000, 0.0000, 0.1080), V at (0.0000, 0.0000, 0.0000) and H at (0.0000, 0.0000, 0.5000).

=====

The following is a DFT calculation (PBE) of a geometry-optimized Ac2MgI structure.

The value obtained for the uncorrected formation energy is -0.439 eV per atom. For the density of states at the Fermi level, the calculation gives 3.8 states/eV/cell. As for the energy above the most stable polymorph in this dataset: 0.0 meV per atom.

The space group is P4/mmm (No. 123) and the conventional cell measures 3.982, 3.982 and 9.226 Å, with angles of 90.00, 90.00 and 90.00 degrees. The asymmetric unit holds Ac at (0.000, 0.000, 0.230), Mg at (0.500, 0.500, 0.000) and I at (0.500, 0.500, 0.500).

=====

The following is a DFT calculation (PBE) of a geometry-optimized CsZn4Ag3Br12 structure.

The value obtained for the uncorrected formation energy is -0.741 eV per atom. For the density of states at the Fermi level, the calculation gives 0.0 states/eV/cell.

The space group is R32 (No. 155, hexagonal axes) and the conventional cell measures 14.9183, 14.9183 and 10.9764 Å, with angles of 90.00, 90.00 and 120.00 degrees. The asymmetric unit holds Cs at (0.0000, 0.0000, 0.0000), Zn at (0.0000, 0.0000, 0.5000), Zn at (0.0000, 0.4358, 0.5000), Ag at (0.0000, 0.5578, 0.0000), Br at (0.0000, 0.5941, 0.5000), Br at (0.0000, 0.8418, 0.5000) and Br at (0.0556, 0.2310, 0.1700).

=====

The following is a DFT calculation (PBE) of a geometry-optimized Pr4Sm4Er5 structure.

For the density of states at the Fermi level, the calculation gives 37.5 states/eV/cell. The calculation puts the formation energy at 2 kJ/mol of atoms.

The space group is I4/m (No. 87) and the conventional cell measures 13.035, 13.035 and 5.085 Å, with angles of 90.00, 90.00 and 90.00 degrees. The asymmetric unit holds Pr at (0.079, 0.383, 0.000), Sm at (0.152, 0.772, 0.000), Er at (0.000, 0.000, 0.000) and Er at (0.039, 0.188, 0.500).

=====

The following is a DFT calculation (PBE) of a geometry-optimized BaTaTl2 structure.

For the density of states at the Fermi level, the calculation gives 9.1 states/eV/cell. The calculation puts the formation energy at 57 kJ/mol of atoms.

The space group is Cmm2 (No. 35) and the conventional cell measures 4.386, 4.921 and 10.500 Å, with angles of 90.00, 90.00 and 90.00 degrees. The asymmetric unit holds Ba at (0.000, 0.000, 0.000), Ta at (0.000, 0.500, 0.742), Tl at (0.000, 0.000, 0.543) and Tl at (0.000, 0.500, 0.301).